Entry 1:
VASP calculation (PBE) on DyYB2Ir2O2 after structural relaxation.

The structure belongs to space group P4mm (No. 99); the cell edges are 3.823, 3.823 and 7.232 Å and the angles 90.00°, 90.00° and 90.00°. The distinct sites, in fractional coordinates, are Dy at (0.000, 0.000, 0.000), Y at (0.500, 0.500, 0.629), B at (0.000, 0.000, 0.468), B at (0.500, 0.500, 0.159), Ir at (0.000, 0.500, 0.313), O at (0.000, 0.000, 0.679) and O at (0.500, 0.500, 0.949).

The calculation puts the size of the total moment at 0.00 μB per cell. Its total energy is -65.140 eV per cell.

---

Entry 2:
VASP calculation (PBE) on TbDyB2P2Ir2 after structural relaxation.

The structure belongs to space group P4mm (No. 99); the cell edges are 3.940, 3.940 and 8.330 Å and the angles 90.00°, 90.00° and 90.00°. The distinct sites, in fractional coordinates, are Tb at (0.000, 0.000, 0.000), Dy at (0.500, 0.500, 0.390), B at (0.000, 0.000, 0.582), B at (0.500, 0.500, 0.810), P at (0.000, 0.000, 0.343), P at (0.500, 0.500, 0.049) and Ir at (0.000, 0.500, 0.695).

The calculation puts the size of the total moment at 0.00 μB per cell. Its total energy is -58.783 eV per cell.

---

Copy entry 2 word for word.
VASP calculation (PBE) on TbDyB2P2Ir2 after structural relaxation.

The structure belongs to space group P4mm (No. 99); the cell edges are 3.940, 3.940 and 8.330 Å and the angles 90.00°, 90.00° and 90.00°. The distinct sites, in fractional coordinates, are Tb at (0.000, 0.000, 0.000), Dy at (0.500, 0.500, 0.390), B at (0.000, 0.000, 0.582), B at (0.500, 0.500, 0.810), P at (0.000, 0.000, 0.343), P at (0.500, 0.500, 0.049) and Ir at (0.000, 0.500, 0.695).

The calculation puts the size of the total moment at 0.00 μB per cell. Its total energy is -58.783 eV per cell.